A relaxed structure of CsNa9Au3, computed with PBE.

Calculated values
Density: 3.94 g/cm3
ΔH_f (0 K): -0.141 eV per atom
Crystal system: monoclinic
Total magnetic moment: 0.000 μB per cell

Cell: 6.479 15.822 8.281 Å, 90.00 112.43 90.00°
Space group C2/m (No. 12)
One atom of each set of equivalent atoms:
Cs  0.000  0.000  0.000
Na  0.000  0.500  0.500
Na  0.126  0.381  0.220
Na  0.148  0.179  0.323
Au  0.000  0.000  0.500
Au  0.250  0.250  0.000

A relaxed structure of CsNa2Au9, computed with PBE.

Calculated values
Density: 12.20 g/cm3
ΔH_f (0 K): -0.224 eV per atom
Crystal system: trigonal
Total magnetic moment: 0.000 μB per cell

Cell: 5.7861 5.7861 27.4939 Å, 90.00 90.00 120.00°
Space group R-3m (No. 166, hexagonal axes)
One atom of each set of equivalent atoms:
Cs  0.0000  0.0000  0.0000
Na  0.0000  0.0000  0.1452
Au  0.0000  0.0000  0.3331
Au  0.0000  0.0000  0.5000
Au  0.0054  0.5027  0.9141

A relaxed structure of Cs2NaAu2, computed with PBE.

Calculated values
Density: 5.81 g/cm3
ΔH_f (0 K): -0.249 eV per atom
Crystal system: orthorhombic
Total magnetic moment: 0.000 μB per cell

Cell: 4.815 7.282 11.136 Å, 90.00 90.00 90.00°
Space group Immm (No. 71)
One atom of each set of equivalent atoms:
Cs  0.000  0.000  0.202
Na  0.000  0.500  0.000
Au  0.000  0.284  0.500

A relaxed structure of Cs4Na5Au2, computed with PBE.

Calculated values
Density: 3.07 g/cm3
ΔH_f (0 K): -0.079 eV per atom
Crystal system: monoclinic
Total magnetic moment: 0.000 μB per cell

Cell: 8.994 5.167 12.127 Å, 90.00 91.28 90.00°
Space group P2/m (No. 10)
One atom of each set of equivalent atoms:
Cs  0.180  0.000  0.146
Cs  0.205  0.000  0.558
Na  0.197  0.500  0.822
Na  0.426  0.500  0.342
Na  0.500  0.500  0.000
Au  0.074  0.500  0.340

A relaxed structure of Cs2NaAu, computed with PBE.

Calculated values
Density: 4.07 g/cm3
ΔH_f (0 K): -0.085 eV per atom
Crystal system: cubic
Total magnetic moment: 0.000 μB per cell

Cell: 9.255 9.255 9.255 Å, 90.00 90.00 90.00°
Space group Fm-3m (No. 225)
One atom of each set of equivalent atoms:
Cs  0.250  0.250  0.250
Na  0.000  0.000  0.000
Au  0.000  0.000  0.500

A relaxed structure of Cs8Na3Au, computed with PBE.

Calculated values
Density: 2.40 g/cm3
ΔH_f (0 K): -0.040 eV per atom
Crystal system: hexagonal
Total magnetic moment: 0.000 μB per cell

Cell: 14.6364 14.6364 9.8938 Å, 90.00 90.00 120.00°
Space group P6_3mc (No. 186)
One atom of each set of equivalent atoms:
Cs  0.0000  0.0000  0.0281
Cs  0.0885  0.5442  0.0000
Cs  0.1808  0.3615  0.2997
Cs  0.3333  0.6667  0.5844
Na  0.1640  0.3281  0.7629
Au  0.3333  0.6667  0.2119

A relaxed structure of Cs3NaAu2, computed with PBE.

Calculated values
Density: 4.21 g/cm3
ΔH_f (0 K): -0.199 eV per atom
Crystal system: monoclinic
Total magnetic moment: 0.001 μB per cell

Cell: 20.517 5.274 13.511 Å, 90.00 118.45 90.00°
Space group C2/m (No. 12)
One atom of each set of equivalent atoms:
Cs  0.047  0.000  0.240
Cs  0.163  0.500  0.001
Cs  0.219  0.000  0.615
Na  0.069  0.500  0.645
Au  0.107  0.500  0.442
Au  0.134  0.000  0.791

A relaxed structure of CsNa5Au2, computed with PBE.

Calculated values
Density: 3.94 g/cm3
ΔH_f (0 K): -0.203 eV per atom
Crystal system: orthorhombic
Total magnetic moment: 0.000 μB per cell

Cell: 4.821 9.368 11.969 Å, 90.00 90.00 90.00°
Space group Immm (No. 71)
One atom of each set of equivalent atoms:
Cs  0.000  0.000  0.000
Na  0.000  0.182  0.331
Na  0.000  0.500  0.000
Au  0.000  0.500  0.252

A relaxed structure of Cs2NaAu, computed with PBE.

Calculated values
Density: 3.84 g/cm3
ΔH_f (0 K): -0.152 eV per atom
Crystal system: tetragonal
Total magnetic moment: 0.000 μB per cell

Cell: 4.511 4.511 10.328 Å, 90.00 90.00 90.00°
Space group P4/mmm (No. 123)
One atom of each set of equivalent atoms:
Cs  0.000  0.000  0.199
Na  0.500  0.500  0.500
Au  0.500  0.500  0.000

A relaxed structure of Cs8NaAu4, computed with PBE.

Calculated values
Density: 3.71 g/cm3
ΔH_f (0 K): -0.194 eV per atom
Crystal system: monoclinic
Total magnetic moment: 0.615 μB per cell

Cell: 24.764 5.266 17.081 Å, 90.00 131.20 90.00°
Space group Cm (No. 8)
One atom of each set of equivalent atoms:
Cs  0.000  0.000  0.000
Cs  0.027  0.000  0.736
Cs  0.115  0.500  0.572
Cs  0.202  0.500  0.077
Cs  0.289  0.000  0.912
Cs  0.317  0.000  0.650
Cs  0.356  0.000  0.395
Cs  0.461  0.500  0.255
Na  0.160  0.500  0.326
Au  0.009  0.500  0.864
Au  0.308  0.500  0.786
Au  0.329  0.000  0.159
Au  0.488  0.500  0.490

A relaxed structure of Cs12Na3Au5, computed with PBE.

Calculated values
Density: 2.90 g/cm3
ΔH_f (0 K): -0.099 eV per atom
Crystal system: cubic
Total magnetic moment: 0.011 μB per cell

Cell: 22.973 22.973 22.973 Å, 90.00 90.00 90.00°
Space group Ia-3d (No. 230)
One atom of each set of equivalent atoms:
Cs  0.031  0.057  0.646
Na  0.000  0.250  0.125
Au  0.000  0.000  0.000
Au  0.000  0.250  0.375

A relaxed structure of CsNa4Au2, computed with PBE.

Calculated values
Density: 4.43 g/cm3
ΔH_f (0 K): -0.192 eV per atom
Crystal system: orthorhombic
Total magnetic moment: 0.000 μB per cell

Cell: 4.991 18.601 4.992 Å, 90.00 90.00 90.00°
Space group Cmmm (No. 65)
One atom of each set of equivalent atoms:
Cs  0.000  0.000  0.000
Na  0.000  0.175  0.500
Na  0.000  0.326  0.000
Au  0.000  0.423  0.500